This record from Alexandria via LeMat-Bulk describes an optimized crystal structure of Re2POs. The functional is GGA-PBEsol. Values from VASP.

Output
E_form = 0.60 eV per atom
D(E_F) = 1.215 states/eV/atom
calculated volume = 14.0 Å³/atom
total magnetization = 0.00 μB/cell

```
&SYSTEM
  ibrav = 0, nat = 4, ntyp = 3
/
ATOMIC_SPECIES
P 30.97 P.upf
Re 186.21 Re.upf
Os 190.23 Os.upf
CELL_PARAMETERS angstrom
3.632 0.000 0.000
0.000 3.632 0.000
0.000 0.000 4.242
ATOMIC_POSITIONS crystal
P 0.000 0.000 0.500
Re 0.500 0.000 0.000
Re 0.000 0.500 0.000
Os 0.500 0.500 0.500
```